SrLaRe2, relaxed, DFT PBE; total magnetization = 0.0 μB per formula unit; density of states at the Fermi level = 4.4 states/eV/f.u.; SG = No. 139; ΔE to the lowest computed polymorph = 88.9 kJ/mol of atoms; formation enthalpy at 0 K = 1.15 eV per atom
1.0
-2.041 2.041 5.150
2.041 -2.041 5.150
2.041 2.041 -5.150
Sr La Re
1 1 2
direct
0.000 0.000 0.000
0.500 0.500 0.000
0.250 0.750 0.500
0.750 0.250 0.500